# 1
# Ca2CeI6

A geometry-optimized Ca2CeI6 structure (GGA-PBE, Alexandria via LeMat-Bulk).

For the density, the calculation gives 3.901 g/cm3. The calculation puts the volume at 46.43 Å³/atom. As for the density of states at the Fermi level: 17.365 states/eV/cell. The value obtained for the total energy is -32.40 eV/f.u.

It has space group C2/m (No. 12), with a = 17.163 Å, b = 4.405 Å, c = 11.721 Å, α = 90.00°, β = 109.44° and γ = 90.00°. Symmetry generates all atoms from Ca at (0.168, 0.000, 0.334), Ce at (0.000, 0.500, 0.000), I at (0.030, 0.500, 0.290), I at (0.148, 0.000, 0.056) and I at (0.194, 0.000, 0.615).

---

# 2
# AsIrCl2

A geometry-optimized AsIrCl2 structure (GGA-PBE, Alexandria via LeMat-Bulk).

For the density, the calculation gives 7.207 g/cm3. For the relative energy among the computed polymorphs, the calculation gives 4.561 eV per formula unit. The calculation puts the volume at 19.47 Å³/atom. As for the density of states at the Fermi level: 10.160 states/eV/cell.

It has space group R-3m (No. 166, hexagonal axes), with a = 3.1377 Å, b = 3.1377 Å, c = 27.4054 Å, α = 90.00°, β = 90.00° and γ = 120.00°. Symmetry generates all atoms from As at (0.0000, 0.0000, 0.0000), Ir at (0.0000, 0.0000, 0.5000) and Cl at (0.0000, 0.0000, 0.0956).

---

# 3
# MoOsW2

A geometry-optimized MoOsW2 structure (GGA-PBE, Alexandria via LeMat-Bulk).

For the density, the calculation gives 17.251 g/cm3. For the relative energy among the computed polymorphs, the calculation gives 0.470 eV per formula unit. The value obtained for the energy of formation is 0.25 eV/atom. The calculation puts the volume at 15.73 Å³/atom. As for the density of states at the Fermi level: 8.519 states/eV/cell.

It has space group Cmmm (No. 65), with a = 5.691 Å, b = 7.776 Å, c = 2.845 Å, α = 90.00°, β = 90.00° and γ = 90.00°. Symmetry generates all atoms from Mo at (0.000, 0.000, 0.000), Os at (0.000, 0.500, 0.000) and W at (0.250, 0.250, 0.500).